1.
Below is a relaxed LaNd3Y3Te8 crystal, with properties calculated at the PBE level.

Summary:
As for the total energy: -5.693 eV/atom. Its uncorrected formation energy is -2087.7 kJ/mol of formula units. Its space group is R-3m, No. 166. As for the volume: 32.677 Å³/atom.

a b c (Å): 8.846 8.846 8.855
angles (deg): 119.97 90.00 120.00
Positions (direct):
Nd 0.000 0.500 0.000
Nd 0.500 0.500 0.000
Nd 0.000 0.000 0.000
Te 0.254 0.507 0.261
Te 0.261 0.993 0.754
Te 0.746 0.493 0.739
Te 0.268 0.007 0.246
Te 0.739 0.479 0.246
Te 0.261 0.521 0.754
Te 0.732 0.993 0.754
Te 0.739 0.007 0.246
Y 0.500 0.000 0.500
Y 0.000 0.500 0.500
Y 0.500 0.500 0.500
La 0.000 0.000 0.500


2.
Below is a relaxed La3Nd2YTe6 crystal, with properties calculated at the PBE level.

Summary:
As for the total energy: -5.631 eV/atom. Its uncorrected formation energy is -1730.5 kJ/mol of formula units. Its space group is C2/m, No. 12. As for the volume: 32.602 Å³/atom.

a b c (Å): 4.506 9.067 10.083
angles (deg): 102.66 102.91 90.00
Positions (direct):
Te 0.000 0.761 0.000
Te 0.333 0.420 0.666
Te 0.667 0.580 0.334
Te 0.000 0.239 0.000
Te 0.661 0.083 0.323
Te 0.339 0.917 0.677
La 0.170 0.833 0.339
La 0.500 0.500 0.000
La 0.830 0.167 0.661
Nd 0.168 0.335 0.336
Nd 0.832 0.665 0.664
Y 0.500 0.000 0.000


3.
Below is a relaxed La3Nd4YTe8 crystal, with properties calculated at the PBE level.

Summary:
As for the total energy: -5.560 eV/atom. Its uncorrected formation energy is -2268.3 kJ/mol of formula units. Its space group is R-3m, No. 166. As for the volume: 32.560 Å³/atom.

a b c (Å): 9.053 9.011 9.044
angles (deg): 120.06 120.03 90.00
Positions (direct):
Nd 0.500 0.000 0.000
Nd 0.000 0.000 0.000
Nd 0.500 0.000 0.500
Nd 0.000 0.000 0.500
Y 0.000 0.500 0.000
La 0.500 0.500 0.500
La 0.000 0.500 0.500
La 0.500 0.500 0.000
Te 0.248 0.245 0.497
Te 0.243 0.251 0.997
Te 0.754 0.251 0.997
Te 0.757 0.749 0.003
Te 0.754 0.251 0.508
Te 0.246 0.749 0.492
Te 0.246 0.749 0.003
Te 0.752 0.755 0.503


4.
Below is a relaxed La2NdY3Te6 crystal, with properties calculated at the PBE level.

Summary:
As for the total energy: -5.835 eV/atom. Its uncorrected formation energy is -1655.6 kJ/mol of formula units. Its space group is C2/m, No. 12. As for the volume: 31.340 Å³/atom.

a b c (Å): 4.428 8.989 10.003
angles (deg): 104.02 102.79 90.00
Positions (direct):
Y 0.167 0.833 0.334
Y 0.833 0.167 0.666
Y 0.500 0.500 0.000
La 0.166 0.331 0.331
La 0.834 0.669 0.669
Te 0.669 0.073 0.338
Te 0.663 0.592 0.327
Te 0.996 0.256 0.991
Te 0.331 0.927 0.662
Te 0.337 0.408 0.673
Te 0.004 0.744 0.009
Nd 0.500 0.000 0.000


5.
Below is a relaxed La2Nd2Th15 crystal, with properties calculated at the PBE level.

Summary:
As for the total energy: -6.617 eV/atom. For the formation energy, the calculation gives 0.261 eV per atom. Its space group is R-3m, No. 166. As for the volume: 34.959 Å³/atom.

a b c (Å): 8.800 8.800 8.800
angles (deg): 82.22 82.22 82.22
Positions (direct):
Th 0.340 0.822 0.340
Th 0.000 0.314 0.686
Th 0.000 0.000 0.500
Th 0.686 0.000 0.314
Th 0.660 0.178 0.660
Th 0.500 0.000 0.000
Th 0.314 0.686 0.000
Th 0.000 0.500 0.000
Th 0.340 0.340 0.822
Th 0.314 0.000 0.686
Th 0.660 0.660 0.178
Th 0.822 0.340 0.340
Th 0.686 0.314 0.000
Th 0.178 0.660 0.660
Th 0.000 0.686 0.314
La 0.894 0.894 0.894
La 0.106 0.106 0.106
Nd 0.641 0.641 0.641
Nd 0.359 0.359 0.359


6.
Below is a relaxed LaNd2Th crystal, with properties calculated at the PBE level.

Summary:
As for the total energy: -5.439 eV/atom. For the formation energy, the calculation gives 0.032 eV per atom. Its space group is P4/mmm, No. 123. As for the volume: 34.937 Å³/atom.

a b c (Å): 3.628 3.628 10.617
angles (deg): 90.00 90.00 90.00
Positions (direct):
Nd 0.000 0.000 0.766
Nd 0.000 0.000 0.234
Th 0.500 0.500 0.000
La 0.500 0.500 0.500